No. 1
Material: BaTaBi2Sb
Method: DFT, PBE-GGA
State: relaxed

Summary:
Magnetic moment: 0.180 μB per atom
Energy: -4.674 eV/atom
Formation energy (no corrections): 458 meV per atom
Calculated volume: 183.8 Å³/f.u.
DOS(E_F): 1.06 states/eV/atom

a = 5.462 Å, b = 6.162 Å, c = 5.462 Å
α = 90.00°, β = 90.00°, γ = 90.00°
Element x y z (fractional)
Ta  0.000  0.000  0.000
Bi  0.500  0.000  0.000
Bi  0.000  0.000  0.500
Sb  0.500  0.500  0.500
Ba  0.000  0.500  0.000


No. 2
Material: Ca5PrGa6
Method: DFT, PBE-GGA
State: relaxed

Summary:
Magnetic moment: 0.000 μB per atom
Energy: -3.204 eV/atom
Formation energy: -0.4580 eV/atom
Calculated volume: 299.6 Å³/f.u.
DOS(E_F): 0.58 states/eV/atom

a = 5.218 Å, b = 9.040 Å, c = 9.040 Å
α = 120.38°, β = 106.76°, γ = 106.76°
Element x y z (fractional)
Ca  0.500  0.500  0.500
Ca  0.500  0.831  0.169
Ca  0.000  0.668  0.332
Ca  0.000  0.332  0.668
Ca  0.500  0.169  0.831
Ga  0.254  0.421  0.089
Ga  0.746  0.911  0.579
Ga  0.254  0.089  0.421
Ga  0.244  0.744  0.744
Ga  0.756  0.256  0.256
Ga  0.746  0.579  0.911
Pr  0.000  0.000  0.000


No. 3
Material: La2MnSe
Method: DFT, PBE-GGA
State: relaxed

Summary:
Magnetic moment: 0.645 μB per atom
Energy: -6.168 eV/atom
Formation energy (no corrections): -541 meV per atom
Calculated volume: 99.9 Å³/f.u.
DOS(E_F): 1.07 states/eV/atom

a = 6.395 Å, b = 6.395 Å, c = 4.683 Å
α = 68.52°, β = 68.52°, γ = 34.38°
Element x y z (fractional)
La  0.232  0.232  0.268
La  0.996  0.996  0.004
Se  0.804  0.804  0.696
Mn  0.468  0.468  0.532


No. 4
Material: PmYPbO2
Method: DFT, PBE-GGA
State: relaxed

Summary:
Magnetic moment: 0.000 μB per atom
Energy: -7.462 eV/atom
Formation energy (no corrections): -2494 meV per atom
Calculated volume: 109.8 Å³/f.u.
DOS(E_F): 0.43 states/eV/atom

a = 3.911 Å, b = 3.911 Å, c = 7.696 Å
α = 104.72°, β = 104.72°, γ = 90.00°
Element x y z (fractional)
Pb  0.502  0.502  0.005
O  0.747  0.247  0.495
O  0.247  0.747  0.495
Y  0.171  0.171  0.342
Pm  0.832  0.832  0.663


- Which formula does entry 3 have?
  La2MnSe